Record 1
This record from the Alexandria database describes a geometry-optimized NaCd4O4 structure. The functional is GGA-PBE.

Formation energy (no corrections) (meV/atom): -954
Energy (eV/atom): -3.7111

a = 4.8300 Å, b = 5.8795 Å, c = 5.8796 Å
α = 80.19°, β = 65.75°, γ = 65.75°
Fractional coordinates of all 9 atoms:
O (0.6917, 0.1944, 0.4221)
O (0.1135, 0.5787, 0.1943)
Cd (0.6079, 0.5804, 0.2038)
O (0.8865, 0.4213, 0.8057)
Cd (0.1880, 0.2042, 0.4198)
Cd (0.8120, 0.7958, 0.5802)
O (0.3083, 0.8056, 0.5779)
Cd (0.3921, 0.4196, 0.7962)
Na (0.0000, 0.0000, 0.0000)



Record 2
This record from the Alexandria database describes a geometry-optimized Na2Cd2O3 structure. The functional is GGA-PBE.

Distance to the lowest polymorph of the same formula (eV/atom): 0.0000
Formation energy (no corrections) (meV/atom): -1147
Energy (eV/atom): -3.9106

a = 6.1114 Å, b = 6.3498 Å, c = 6.6137 Å
α = 61.36°, β = 90.00°, γ = 90.00°
Fractional coordinates of all 14 atoms:
Na (0.8387, 0.3796, 0.9090)
O (0.0000, 0.0000, 0.0000)
O (0.5000, 0.5000, 0.0000)
Cd (0.3765, 0.5993, 0.6499)
Cd (0.8765, 0.9007, 0.3501)
Na (0.6613, 0.8796, 0.9090)
O (0.5471, 0.7774, 0.3144)
Na (0.3387, 0.1204, 0.0910)
Cd (0.1235, 0.0993, 0.6499)
Na (0.1613, 0.6204, 0.0910)
Cd (0.6235, 0.4007, 0.3501)
O (0.9529, 0.2774, 0.3144)
O (0.4529, 0.2226, 0.6856)
O (0.0471, 0.7226, 0.6856)



Record 3
This record from the Alexandria database describes a geometry-optimized NaCd3O3 structure. The functional is GGA-PBE.

Formation energy (no corrections) (meV/atom): -865
Energy (eV/atom): -3.5704

a = 4.6913 Å, b = 4.6913 Å, c = 4.6913 Å
α = 90.00°, β = 90.00°, γ = 90.00°
Fractional coordinates of all 7 atoms:
Cd (0.0000, 0.0000, 0.5000)
Cd (0.0000, 0.5000, 0.0000)
O (0.0000, 0.5000, 0.5000)
Na (0.5000, 0.5000, 0.5000)
Cd (0.5000, 0.0000, 0.0000)
O (0.5000, 0.0000, 0.5000)
O (0.5000, 0.5000, 0.0000)



Record 4
This record from the Alexandria database describes a geometry-optimized NaCd4O5 structure. The functional is GGA-PBE.

Formation energy (no corrections) (meV/atom): -1002
Energy (eV/atom): -3.9788

a = 3.3570 Å, b = 4.7635 Å, c = 8.8993 Å
α = 105.52°, β = 100.87°, γ = 90.00°
Site moments in Bohr magnetons follow the coordinates.
Fractional coordinates of all 10 atoms:
O (0.6075, 0.1075, 0.2151)  0.15
Cd (0.5965, 0.5965, 0.1930)  0.02
Cd (0.4035, 0.4035, 0.8070)  0.02
O (0.3925, 0.8925, 0.7849)  0.15
Na (0.0000, 0.0000, 0.0000)  0.00
O (0.1983, 0.6983, 0.3967)  0.12
Cd (0.8006, 0.8006, 0.6012)  0.01
O (0.8017, 0.3017, 0.6033)  0.12
Cd (0.1994, 0.1994, 0.3988)  0.01
O (0.0000, 0.5000, 0.0000)  0.11



Summary of V in A^3/atom
15.42; 16.09; 14.75; 13.45
(order as listed above)